Record 1
Density functional theory data (PBE) for a relaxed structure of PaZnHgN.

## Properties
Crystal system = tetragonal
Magnetization = 0.000 μB per atom
Symmetry = No. 129
D(E_F) = 0.536 states/eV per atom
Total DFT energy (no corrections) = -5.56 eV per atom

Lattice parameters (Å, degrees): 4.153 4.153 8.543 90.00 90.00 90.00
Element x y z (fractional)
1 Pa 0.250 0.250 0.121
2 Pa 0.750 0.750 0.879
3 Zn 0.250 0.250 0.718
4 Zn 0.750 0.750 0.282
5 Hg 0.250 0.750 0.500
6 Hg 0.750 0.250 0.500
7 N 0.250 0.750 0.000
8 N 0.750 0.250 0.000

Record 2
Density functional theory data (PBE) for a relaxed structure of Sm2Zn5Hg.

## Properties
Crystal system = orthorhombic
Formation enthalpy at 0 K = -266 kJ/mol of formula units
Magnetization = 0.000 μB per atom
Symmetry = No. 63
D(E_F) = 0.573 states/eV per atom
Total DFT energy (no corrections) = -2.36 eV per atom

Lattice parameters (Å, degrees): 8.546 8.546 9.056 90.00 90.00 150.23
Element x y z (fractional)
1 Sm 0.000 0.000 0.000
2 Sm 0.000 0.000 0.500
3 Sm 0.204 0.796 0.750
4 Sm 0.796 0.204 0.250
5 Zn 0.185 0.815 0.109
6 Zn 0.185 0.815 0.391
7 Zn 0.345 0.655 0.019
8 Zn 0.345 0.655 0.481
9 Zn 0.394 0.606 0.750
10 Zn 0.606 0.394 0.250
11 Zn 0.655 0.345 0.519
12 Zn 0.655 0.345 0.981
13 Zn 0.815 0.185 0.609
14 Zn 0.815 0.185 0.891
15 Hg 0.447 0.553 0.250
16 Hg 0.553 0.447 0.750

Record 3
Density functional theory data (PBE) for a relaxed structure of TlCdSb2Se.

## Properties
Crystal system = tetragonal
Magnetization = 0.000 μB per atom
Symmetry = No. 123
D(E_F) = 0.611 states/eV per atom
Total DFT energy (no corrections) = -2.66 eV per atom

Lattice parameters (Å, degrees): 5.586 5.586 5.322 90.00 90.00 90.00
Element x y z (fractional)
1 Tl 0.000 0.000 0.000
2 Cd 0.500 0.500 0.000
3 Sb 0.000 0.500 0.500
4 Sb 0.500 0.000 0.500
5 Se 0.500 0.500 0.500

Record 4
Density functional theory data (PBE) for a relaxed structure of RbSn2Pt.

## Properties
Crystal system = tetragonal
Formation enthalpy at 0 K = -55 kJ/mol of formula units
Magnetization = 0.000 μB per atom
Symmetry = No. 141
D(E_F) = 0.591 states/eV per atom
Total DFT energy (no corrections) = -3.89 eV per atom

Lattice parameters (Å, degrees): 9.547 9.547 9.547 143.27 143.27 52.92
Element x y z (fractional)
1 Rb 0.375 0.625 0.750
2 Rb 0.625 0.375 0.250
3 Sn 0.000 0.000 0.000
4 Sn 0.000 0.000 0.500
5 Sn 0.000 0.500 0.000
6 Sn 0.500 0.000 0.500
7 Pt 0.125 0.875 0.250
8 Pt 0.875 0.125 0.750

Record 5
Density functional theory data (PBE) for a relaxed structure of K2H2S.

## Properties
Crystal system = monoclinic
Magnetization = 0.000 μB per atom
Symmetry = No. 15
D(E_F) = 0.000 states/eV per atom
Total DFT energy (no corrections) = -2.97 eV per atom
E above lowest polymorph = 275 meV/atom

Lattice parameters (Å, degrees): 5.408 5.408 9.366 106.92 106.92 59.92
Element x y z (fractional)
1 K 0.124 0.626 0.875
2 K 0.374 0.876 0.625
3 K 0.626 0.124 0.375
4 K 0.876 0.374 0.125
5 H 0.138 0.637 0.362
6 H 0.363 0.862 0.138
7 H 0.637 0.138 0.862
8 H 0.862 0.363 0.638
9 S 0.251 0.749 0.250
10 S 0.749 0.251 0.750

Record 6
Density functional theory data (PBE) for a relaxed structure of SrPtRh.

## Properties
Crystal system = tetragonal
Formation enthalpy at 0 K = -59 kJ/mol of formula units
Magnetization = 0.001 μB per atom
Symmetry = No. 107
D(E_F) = 1.486 states/eV per atom
Total DFT energy (no corrections) = -5.23 eV per atom
E above lowest polymorph = 404 meV/atom

Lattice parameters (Å, degrees): 5.789 5.789 5.789 143.82 143.82 52.10
Element x y z (fractional)
1 Sr 0.000 0.000 0.000
2 Pt 0.712 0.712 0.000
3 Rh 0.280 0.280 0.000